Model A:
Here is a relaxed LiCaSbI2 crystal from the Alexandria database. Energies are from PBE.

Geometry as POSCAR:
```
LiCaSbI2
1.0
5.391 0.000 0.000
0.000 5.391 0.000
0.000 0.000 5.453
Li Ca Sb I
1 1 1 2
direct
0.000 0.000 0.000
0.500 0.500 0.500
0.000 0.000 0.500
0.000 0.500 0.000
0.500 0.000 0.000
```

=====

Model B:
Here is a relaxed LiCaSbI2 crystal from the Alexandria database. Energies are from PBE.

Geometry as POSCAR:
```
LiCaSbI2
1.0
6.134 0.000 0.000
0.000 6.134 0.000
0.000 0.000 6.247
Li Ca Sb I
1 1 1 2
direct
0.000 0.000 0.000
0.500 0.500 0.500
0.500 0.500 0.000
0.000 0.500 0.500
0.500 0.000 0.500
```

=====

Which of them is the most stable, and which is the least stable? model A and model B, in that order.

=====

Model A:
Here is a relaxed LiCaTe2I crystal from the Alexandria database. Energies are from PBE.

Geometry as POSCAR:
```
LiCaTe2I
1.0
5.028 0.000 0.000
0.000 5.028 0.000
0.000 0.000 6.203
Li Ca Te I
1 1 2 1
direct
0.000 0.000 0.000
0.500 0.500 0.500
0.000 0.500 0.000
0.500 0.000 0.000
0.000 0.000 0.500
```

=====

Model B:
Here is a relaxed LiCaTe2I crystal from the Alexandria database. Energies are from PBE.

Geometry as POSCAR:
```
LiCaTe2I
1.0
5.926 0.000 0.000
0.000 5.926 0.000
0.000 0.000 6.177
Li Ca Te I
1 1 2 1
direct
0.000 0.000 0.000
0.500 0.500 0.500
0.000 0.500 0.500
0.500 0.000 0.500
0.500 0.500 0.000
```

=====

Which of them is the most stable, and which is the least stable? model A and model B, in that order.

=====

Model A:
Here is a relaxed LiCaTeI2 crystal from the Alexandria database. Energies are from PBE.

Geometry as POSCAR:
```
LiCaTeI2
1.0
6.121 0.000 0.000
0.000 6.121 0.000
0.000 0.000 6.088
Li Ca Te I
1 1 1 2
direct
0.000 0.000 0.000
0.500 0.500 0.500
0.500 0.500 0.000
0.000 0.500 0.500
0.500 0.000 0.500
```

=====

Model B:
Here is a relaxed LiCaTeI2 crystal from the Alexandria database. Energies are from PBE.

Geometry as POSCAR:
```
LiCaTeI2
1.0
5.436 0.000 0.000
0.000 5.436 0.000
0.000 0.000 5.476
Li Ca Te I
1 1 1 2
direct
0.000 0.000 0.000
0.500 0.500 0.500
0.000 0.000 0.500
0.000 0.500 0.000
0.500 0.000 0.000
```

=====

Which of them is the most stable, and which is the least stable? model A and model B, in that order.